# KBeHg | the Open Quantum Materials Database | PBE-GGA | optimized geometry
data_KBeHg
_cell_length_a 7.029
_cell_length_b 7.029
_cell_length_c 7.029
_cell_angle_alpha 90.00
_cell_angle_beta 90.00
_cell_angle_gamma 90.00
_symmetry_space_group_name_H-M 'P 1'
_symmetry_Int_Tables_number 1
loop_
_symmetry_equiv_pos_as_xyz
'x,y,z'
loop_
_atom_site_label
_atom_site_type_symbol
_atom_site_fract_x
_atom_site_fract_y
_atom_site_fract_z
K1 K 0.000 0.000 0.000
K2 K 0.000 0.500 0.500
K3 K 0.500 0.000 0.500
K4 K 0.500 0.500 0.000
Be1 Be 0.250 0.250 0.750
Be2 Be 0.250 0.750 0.250
Be3 Be 0.750 0.250 0.250
Be4 Be 0.750 0.750 0.750
Hg1 Hg 0.000 0.000 0.500
Hg2 Hg 0.000 0.500 0.000
Hg3 Hg 0.500 0.000 0.000
Hg4 Hg 0.500 0.500 0.500
# Calculated total energy in eV per atom: -1.063
# Offset from the most stable computed form in meV per atom: 0.0



# K2Be2Hg3 | the Open Quantum Materials Database | PBE-GGA | optimized geometry
data_K2Be2Hg3
_cell_length_a 12.376
_cell_length_b 12.376
_cell_length_c 12.376
_cell_angle_alpha 20.49
_cell_angle_beta 20.49
_cell_angle_gamma 20.49
_symmetry_space_group_name_H-M 'P 1'
_symmetry_Int_Tables_number 1
loop_
_symmetry_equiv_pos_as_xyz
'x,y,z'
loop_
_atom_site_label
_atom_site_type_symbol
_atom_site_fract_x
_atom_site_fract_y
_atom_site_fract_z
K1 K 0.000 0.000 0.000
K2 K 0.494 0.494 0.494
Be1 Be 0.245 0.245 0.245
Be2 Be 0.739 0.739 0.739
Hg1 Hg 0.402 0.402 0.402
Hg2 Hg 0.598 0.598 0.598
Hg3 Hg 0.894 0.894 0.894
# Calculated total energy in eV per atom: -1.246



# KBeHg | the Open Quantum Materials Database | PBE-GGA | optimized geometry
data_KBeHg
_cell_length_a 7.237
_cell_length_b 7.237
_cell_length_c 7.237
_cell_angle_alpha 90.00
_cell_angle_beta 90.00
_cell_angle_gamma 90.00
_symmetry_space_group_name_H-M 'P 1'
_symmetry_Int_Tables_number 1
loop_
_symmetry_equiv_pos_as_xyz
'x,y,z'
loop_
_atom_site_label
_atom_site_type_symbol
_atom_site_fract_x
_atom_site_fract_y
_atom_site_fract_z
K1 K 0.000 0.000 0.000
K2 K 0.000 0.500 0.500
K3 K 0.500 0.000 0.500
K4 K 0.500 0.500 0.000
Be1 Be 0.000 0.000 0.500
Be2 Be 0.000 0.500 0.000
Be3 Be 0.500 0.000 0.000
Be4 Be 0.500 0.500 0.500
Hg1 Hg 0.250 0.250 0.750
Hg2 Hg 0.250 0.750 0.250
Hg3 Hg 0.750 0.250 0.250
Hg4 Hg 0.750 0.750 0.750
# Calculated total energy in eV per atom: -1.001
# Offset from the most stable computed form in meV per atom: 62.7



# LiBeHg | the Open Quantum Materials Database | PBE-GGA | optimized geometry
data_LiBeHg
_cell_length_a 5.797
_cell_length_b 5.797
_cell_length_c 5.797
_cell_angle_alpha 90.00
_cell_angle_beta 90.00
_cell_angle_gamma 90.00
_symmetry_space_group_name_H-M 'P 1'
_symmetry_Int_Tables_number 1
loop_
_symmetry_equiv_pos_as_xyz
'x,y,z'
loop_
_atom_site_label
_atom_site_type_symbol
_atom_site_fract_x
_atom_site_fract_y
_atom_site_fract_z
Li1 Li 0.000 0.000 0.000
Li2 Li 0.000 0.500 0.500
Li3 Li 0.500 0.000 0.500
Li4 Li 0.500 0.500 0.000
Be1 Be 0.250 0.250 0.750
Be2 Be 0.250 0.750 0.250
Be3 Be 0.750 0.250 0.250
Be4 Be 0.750 0.750 0.750
Hg1 Hg 0.000 0.000 0.500
Hg2 Hg 0.000 0.500 0.000
Hg3 Hg 0.500 0.000 0.000
Hg4 Hg 0.500 0.500 0.500
# Calculated total energy in eV per atom: -1.782
# Offset from the most stable computed form in meV per atom: 0.0



# LiBe2Hg | the Open Quantum Materials Database | PBE-GGA | optimized geometry
data_LiBe2Hg
_cell_length_a 5.845
_cell_length_b 5.845
_cell_length_c 5.845
_cell_angle_alpha 90.00
_cell_angle_beta 90.00
_cell_angle_gamma 90.00
_symmetry_space_group_name_H-M 'P 1'
_symmetry_Int_Tables_number 1
loop_
_symmetry_equiv_pos_as_xyz
'x,y,z'
loop_
_atom_site_label
_atom_site_type_symbol
_atom_site_fract_x
_atom_site_fract_y
_atom_site_fract_z
Li1 Li 0.000 0.000 0.000
Li2 Li 0.000 0.500 0.500
Li3 Li 0.500 0.000 0.500
Li4 Li 0.500 0.500 0.000
Be1 Be 0.000 0.000 0.500
Be2 Be 0.000 0.500 0.000
Be3 Be 0.250 0.250 0.750
Be4 Be 0.250 0.750 0.250
Be5 Be 0.500 0.000 0.000
Be6 Be 0.500 0.500 0.500
Be7 Be 0.750 0.250 0.250
Be8 Be 0.750 0.750 0.750
Hg1 Hg 0.250 0.250 0.250
Hg2 Hg 0.250 0.750 0.750
Hg3 Hg 0.750 0.250 0.750
Hg4 Hg 0.750 0.750 0.250
# Calculated total energy in eV per atom: -2.231



# Li2BeHg | the Open Quantum Materials Database | PBE-GGA | optimized geometry
data_Li2BeHg
_cell_length_a 6.055
_cell_length_b 6.055
_cell_length_c 6.055
_cell_angle_alpha 90.00
_cell_angle_beta 90.00
_cell_angle_gamma 90.00
_symmetry_space_group_name_H-M 'P 1'
_symmetry_Int_Tables_number 1
loop_
_symmetry_equiv_pos_as_xyz
'x,y,z'
loop_
_atom_site_label
_atom_site_type_symbol
_atom_site_fract_x
_atom_site_fract_y
_atom_site_fract_z
Li1 Li 0.000 0.000 0.000
Li2 Li 0.000 0.500 0.500
Li3 Li 0.250 0.250 0.250
Li4 Li 0.250 0.750 0.750
Li5 Li 0.500 0.000 0.500
Li6 Li 0.500 0.500 0.000
Li7 Li 0.750 0.250 0.750
Li8 Li 0.750 0.750 0.250
Be1 Be 0.000 0.000 0.500
Be2 Be 0.000 0.500 0.000
Be3 Be 0.500 0.000 0.000
Be4 Be 0.500 0.500 0.500
Hg1 Hg 0.250 0.250 0.750
Hg2 Hg 0.250 0.750 0.250
Hg3 Hg 0.750 0.250 0.250
Hg4 Hg 0.750 0.750 0.750
# Calculated total energy in eV per atom: -2.038



# LuBe2Hg | the Open Quantum Materials Database | PBE-GGA | optimized geometry
data_LuBe2Hg
_cell_length_a 6.456
_cell_length_b 6.456
_cell_length_c 6.456
_cell_angle_alpha 90.00
_cell_angle_beta 90.00
_cell_angle_gamma 90.00
_symmetry_space_group_name_H-M 'P 1'
_symmetry_Int_Tables_number 1
loop_
_symmetry_equiv_pos_as_xyz
'x,y,z'
loop_
_atom_site_label
_atom_site_type_symbol
_atom_site_fract_x
_atom_site_fract_y
_atom_site_fract_z
Lu1 Lu 0.000 0.000 0.000
Lu2 Lu 0.000 0.500 0.500
Lu3 Lu 0.500 0.000 0.500
Lu4 Lu 0.500 0.500 0.000
Be1 Be 0.000 0.000 0.500
Be2 Be 0.000 0.500 0.000
Be3 Be 0.250 0.250 0.250
Be4 Be 0.250 0.750 0.750
Be5 Be 0.500 0.000 0.000
Be6 Be 0.500 0.500 0.500
Be7 Be 0.750 0.250 0.750
Be8 Be 0.750 0.750 0.250
Hg1 Hg 0.250 0.250 0.750
Hg2 Hg 0.250 0.750 0.250
Hg3 Hg 0.750 0.250 0.250
Hg4 Hg 0.750 0.750 0.750
# Calculated total energy in eV per atom: -2.873



# LuBeHg | the Open Quantum Materials Database | PBE-GGA | optimized geometry
data_LuBeHg
_cell_length_a 6.238
_cell_length_b 6.238
_cell_length_c 6.238
_cell_angle_alpha 90.00
_cell_angle_beta 90.00
_cell_angle_gamma 90.00
_symmetry_space_group_name_H-M 'P 1'
_symmetry_Int_Tables_number 1
loop_
_symmetry_equiv_pos_as_xyz
'x,y,z'
loop_
_atom_site_label
_atom_site_type_symbol
_atom_site_fract_x
_atom_site_fract_y
_atom_site_fract_z
Lu1 Lu 0.000 0.000 0.000
Lu2 Lu 0.000 0.500 0.500
Lu3 Lu 0.500 0.000 0.500
Lu4 Lu 0.500 0.500 0.000
Be1 Be 0.250 0.250 0.750
Be2 Be 0.250 0.750 0.250
Be3 Be 0.750 0.250 0.250
Be4 Be 0.750 0.750 0.750
Hg1 Hg 0.000 0.000 0.500
Hg2 Hg 0.000 0.500 0.000
Hg3 Hg 0.500 0.000 0.000
Hg4 Hg 0.500 0.500 0.500
# Calculated total energy in eV per atom: -2.856



# Lu2BeHg | the Open Quantum Materials Database | PBE-GGA | optimized geometry
data_Lu2BeHg
_cell_length_a 7.031
_cell_length_b 7.031
_cell_length_c 7.031
_cell_angle_alpha 90.00
_cell_angle_beta 90.00
_cell_angle_gamma 90.00
_symmetry_space_group_name_H-M 'P 1'
_symmetry_Int_Tables_number 1
loop_
_symmetry_equiv_pos_as_xyz
'x,y,z'
loop_
_atom_site_label
_atom_site_type_symbol
_atom_site_fract_x
_atom_site_fract_y
_atom_site_fract_z
Lu1 Lu 0.000 0.000 0.000
Lu2 Lu 0.000 0.500 0.500
Lu3 Lu 0.250 0.250 0.250
Lu4 Lu 0.250 0.750 0.750
Lu5 Lu 0.500 0.000 0.500
Lu6 Lu 0.500 0.500 0.000
Lu7 Lu 0.750 0.250 0.750
Lu8 Lu 0.750 0.750 0.250
Be1 Be 0.000 0.000 0.500
Be2 Be 0.000 0.500 0.000
Be3 Be 0.500 0.000 0.000
Be4 Be 0.500 0.500 0.500
Hg1 Hg 0.250 0.250 0.750
Hg2 Hg 0.250 0.750 0.250
Hg3 Hg 0.750 0.250 0.250
Hg4 Hg 0.750 0.750 0.750
# Calculated total energy in eV per atom: -2.982



# Mg2BeHg | the Open Quantum Materials Database | PBE-GGA | optimized geometry
data_Mg2BeHg
_cell_length_a 6.549
_cell_length_b 6.549
_cell_length_c 6.549
_cell_angle_alpha 90.00
_cell_angle_beta 90.00
_cell_angle_gamma 90.00
_symmetry_space_group_name_H-M 'P 1'
_symmetry_Int_Tables_number 1
loop_
_symmetry_equiv_pos_as_xyz
'x,y,z'
loop_
_atom_site_label
_atom_site_type_symbol
_atom_site_fract_x
_atom_site_fract_y
_atom_site_fract_z
Mg1 Mg 0.000 0.000 0.000
Mg2 Mg 0.000 0.500 0.500
Mg3 Mg 0.250 0.250 0.250
Mg4 Mg 0.250 0.750 0.750
Mg5 Mg 0.500 0.000 0.500
Mg6 Mg 0.500 0.500 0.000
Mg7 Mg 0.750 0.250 0.750
Mg8 Mg 0.750 0.750 0.250
Be1 Be 0.000 0.000 0.500
Be2 Be 0.000 0.500 0.000
Be3 Be 0.500 0.000 0.000
Be4 Be 0.500 0.500 0.500
Hg1 Hg 0.250 0.250 0.750
Hg2 Hg 0.250 0.750 0.250
Hg3 Hg 0.750 0.250 0.250
Hg4 Hg 0.750 0.750 0.750
# Calculated total energy in eV per atom: -1.560



# Be2HgMo | the Open Quantum Materials Database | PBE-GGA | optimized geometry
data_Be2HgMo
_cell_length_a 6.158
_cell_length_b 6.158
_cell_length_c 6.158
_cell_angle_alpha 90.00
_cell_angle_beta 90.00
_cell_angle_gamma 90.00
_symmetry_space_group_name_H-M 'P 1'
_symmetry_Int_Tables_number 1
loop_
_symmetry_equiv_pos_as_xyz
'x,y,z'
loop_
_atom_site_label
_atom_site_type_symbol
_atom_site_fract_x
_atom_site_fract_y
_atom_site_fract_z
Be1 Be 0.000 0.000 0.000
Be2 Be 0.000 0.500 0.500
Be3 Be 0.250 0.250 0.250
Be4 Be 0.250 0.750 0.750
Be5 Be 0.500 0.000 0.500
Be6 Be 0.500 0.500 0.000
Be7 Be 0.750 0.250 0.750
Be8 Be 0.750 0.750 0.250
Hg1 Hg 0.250 0.250 0.750
Hg2 Hg 0.250 0.750 0.250
Hg3 Hg 0.750 0.250 0.250
Hg4 Hg 0.750 0.750 0.750
Mo1 Mo 0.000 0.000 0.500
Mo2 Mo 0.000 0.500 0.000
Mo3 Mo 0.500 0.000 0.000
Mo4 Mo 0.500 0.500 0.500
# Calculated total energy in eV per atom: -3.871



# BeHgMo | the Open Quantum Materials Database | PBE-GGA | optimized geometry
data_BeHgMo
_cell_length_a 5.794
_cell_length_b 5.794
_cell_length_c 5.794
_cell_angle_alpha 90.00
_cell_angle_beta 90.00
_cell_angle_gamma 90.00
_symmetry_space_group_name_H-M 'P 1'
_symmetry_Int_Tables_number 1
loop_
_symmetry_equiv_pos_as_xyz
'x,y,z'
loop_
_atom_site_label
_atom_site_type_symbol
_atom_site_fract_x
_atom_site_fract_y
_atom_site_fract_z
Be1 Be 0.000 0.000 0.000
Be2 Be 0.000 0.500 0.500
Be3 Be 0.500 0.000 0.500
Be4 Be 0.500 0.500 0.000
Hg1 Hg 0.250 0.250 0.750
Hg2 Hg 0.250 0.750 0.250
Hg3 Hg 0.750 0.250 0.250
Hg4 Hg 0.750 0.750 0.750
Mo1 Mo 0.250 0.250 0.250
Mo2 Mo 0.250 0.750 0.750
Mo3 Mo 0.750 0.250 0.750
Mo4 Mo 0.750 0.750 0.250
# Calculated total energy in eV per atom: -4.253



Copy entry 2 word for word.
# K2Be2Hg3 | the Open Quantum Materials Database | PBE-GGA | optimized geometry
data_K2Be2Hg3
_cell_length_a 12.376
_cell_length_b 12.376
_cell_length_c 12.376
_cell_angle_alpha 20.49
_cell_angle_beta 20.49
_cell_angle_gamma 20.49
_symmetry_space_group_name_H-M 'P 1'
_symmetry_Int_Tables_number 1
loop_
_symmetry_equiv_pos_as_xyz
'x,y,z'
loop_
_atom_site_label
_atom_site_type_symbol
_atom_site_fract_x
_atom_site_fract_y
_atom_site_fract_z
K1 K 0.000 0.000 0.000
K2 K 0.494 0.494 0.494
Be1 Be 0.245 0.245 0.245
Be2 Be 0.739 0.739 0.739
Hg1 Hg 0.402 0.402 0.402
Hg2 Hg 0.598 0.598 0.598
Hg3 Hg 0.894 0.894 0.894
# Calculated total energy in eV per atom: -1.246



- Which value of calculated total energy does entry 4 give?
  -1.782 eV per atom



- Among the records above, which one has the highest calculated total energy?
  number 3



- Look up the calculated total energy of the first one.
  -1.063 eV per atom